No. 1
VASP calculation (GGA-PBE) on CuSn2F11 after structural relaxation.

Cell: 12.9172 8.1187 9.4086 Å, 90.00 131.34 90.00°
With the nearest neighbours (Å) after each atom.
Space group C2/c (No. 15)
Symmetry-distinct sites (fractional):
Cu: 0.0000 0.1585 0.2500 x4  6 F 1.93-1.98
Sn: 0.2399 0.3537 0.1980 x8  7 F 1.93-2.12
F: 0.0589 0.3963 0.9563 x8  1 Sn 1.93
F: 0.0896 0.1520 0.5198 x8  1 Cu 1.98, 1 Sn 2.04
F: 0.1180 0.0219 0.7999 x8  1 Cu 1.93, 1 Sn 2.08
F: 0.1341 0.3155 0.2964 x8  1 Cu 1.95, 1 Sn 2.12
F: 0.2329 0.3987 0.7590 x8  2 Sn 2.07-2.11
F: 0.2500 0.2500 0.0000 x4  2 Sn 2.12, 2 F 2.38

Summary:
Crystal system ... monoclinic
Energy relative to the elements, uncorrected ... -2.00 eV/atom
Final energy ... -242.6 eV/cell

=====

No. 2
VASP calculation (GGA-PBE) on Cu3SnF after structural relaxation.

Cell: 4.2449 4.2449 4.2449 Å, 90.00 90.00 90.00°
With the nearest neighbours (Å) after each atom.
Space group Pm-3m (No. 221)
Symmetry-distinct sites (fractional):
Cu: 0.0000 0.0000 0.5000 x3  2 F 2.12
Sn: 0.5000 0.5000 0.5000 x1  12 Cu 3.00
F: 0.0000 0.0000 0.0000 x1  6 Cu 2.12

Summary:
Crystal system ... cubic
Energy relative to the elements, uncorrected ... -0.01 eV/atom
E above lowest polymorph ... 0.000 eV/atom
Final energy ... -18.2 eV/cell

=====

No. 3
VASP calculation (GGA-PBE) on CuSnF after structural relaxation.

Cell: 11.8542 3.1154 5.8065 Å, 90.00 90.00 90.00°
With the nearest neighbours (Å) after each atom.
Space group Amm2 (No. 38)
Symmetry-distinct sites (fractional):
Cu: 0.0000 0.0000 0.0000 x2  6 Sn 2.84-2.86, 2 Cu 3.12
Cu: 0.5000 0.0000 0.1631 x2  4 F 2.03
Sn: 0.1814 0.0000 0.6813 x4  1 F 2.47
F: 0.3900 0.0000 0.6640 x4  2 Cu 2.03

Summary:
Crystal system ... orthorhombic
Energy relative to the elements, uncorrected ... -0.68 eV/atom
Final energy ... -48.0 eV/cell

=====

No. 4
VASP calculation (GGA-PBE) on Cu5Sn3F12 after structural relaxation.

Cell: 13.3300 13.3300 13.3300 Å, 90.00 90.00 90.00°
With the nearest neighbours (Å) after each atom.
Space group Ia-3d (No. 230)
Symmetry-distinct sites (fractional):
Cu: 0.0000 0.0000 0.0000 x16  6 F 2.18
Cu: 0.0000 0.2500 0.3750 x24  4 F 2.07
Sn: 0.0000 0.2500 0.1250 x24  8 F 2.54
F: 0.0245 0.0624 0.6493 x96  2 Cu 2.07-2.18

Summary:
Crystal system ... cubic
Energy relative to the elements, uncorrected ... -1.57 eV/atom
Final energy ... -691.6 eV/cell

=====

No. 5
VASP calculation (GGA-PBE) on TlCu2SnF8 after structural relaxation.

Cell: 5.0268 5.3577 7.8150 Å, 74.33 77.87 78.26°
With the nearest neighbours (Å) after each atom.
Space group P-1 (No. 2)
Symmetry-distinct sites (fractional):
Tl: 0.0000 0.0000 0.0000 x1  8 F 2.79-3.04
Cu: 0.4191 0.4821 0.2073 x2  4 F 1.97-2.09
Sn: 0.0000 0.0000 0.5000 x1  6 F 2.00-2.02
F: 0.1743 0.7667 0.7076 x2  1 Sn 2.00
F: 0.2464 0.7967 0.3268 x2  1 Sn 2.02, 1 Cu 2.09
F: 0.2717 0.2526 0.4425 x2  1 Cu 2.00, 1 Sn 2.02
F: 0.4113 0.2903 0.0149 x2  2 Cu 1.97-2.05

Summary:
Crystal system ... triclinic
Energy relative to the elements, uncorrected ... -1.90 eV/atom
Final energy ... -52.3 eV/cell

=====

No. 6
VASP calculation (GGA-PBE) on TlCuSnF6 after structural relaxation.

Cell: 5.7787 5.7787 11.7100 Å, 90.00 90.00 120.00°
With the nearest neighbours (Å) after each atom.
Space group P-31c (No. 163)
Symmetry-distinct sites (fractional):
Tl: 0.0000 0.0000 0.0000 x2  6 F 2.82
Cu: 0.3333 0.6667 0.2500 x2  6 F 2.27
Sn: 0.3333 0.6667 0.7500 x2  6 F 2.02
F: 0.0313 0.3912 0.6532 x12  1 Sn 2.02

Summary:
Crystal system ... trigonal
Energy relative to the elements, uncorrected ... -2.02 eV/atom
Final energy ... -79.8 eV/cell